Density functional theory data (PBE with a Hubbard U) for a geometry-optimized ReNiF2 structure.

```
data_ReNiF2
_space_group_name_H-M_alt 'I -4 2 d'
_space_group_IT_number 122
_space_group_name_Hall 'I -4 2bw'
_cell_length_a 6.858
_cell_length_b 6.858
_cell_length_c 5.118
_cell_angle_alpha 90.00
_cell_angle_beta 90.00
_cell_angle_gamma 90.00
loop_
_atom_site_label
_atom_site_fract_x
_atom_site_fract_y
_atom_site_fract_z
Re1 0.000 0.000 0.000
Ni1 0.000 0.000 0.500
F1 0.156 0.250 0.125
```

Results
DOS(E_F) in states/eV per cell: 9.70
Crystal system: tetragonal
Relative energy among the computed polymorphs in kcal/mol of atoms: 22.42
Energy in eV/atom: -4.4283
ρ in Mg/m³: 7.81